{"formula": "Cr3CdF", "functional": "GGA+U", "state": "optimized geometry", "lattice": [[4.566, 0.000, 0.000], [0.000, 4.566, 0.000], [0.000, 0.000, 4.566]], "species": ["Cr", "Cr", "Cr", "F", "Cd"], "fractional_positions": [[0.000, 0.500, 0.000], [0.000, 0.000, 0.500], [0.500, 0.000, 0.000], [0.000, 0.000, 0.000], [0.500, 0.500, 0.500]], "total_magnetization_mub_per_cell": 13.88, "e_above_lowest_polymorph_mev_per_atom": 0, "spacegroup": "No. 221", "crystal_system": "cubic"}